Compound: Zr3AlAu2
Source: OQMD via LeMat-Bulk
Functional: PBE-GGA
Structure: optimized geometry

Cell lengths 8.769, 8.769, 8.769 Å; angles 60.00, 60.00, 60.00 degrees
Fractional positions:
1 Zr 0.072 0.072 0.678
2 Zr 0.072 0.678 0.072
3 Zr 0.072 0.678 0.678
4 Zr 0.322 0.322 0.928
5 Zr 0.322 0.928 0.322
6 Zr 0.322 0.928 0.928
7 Zr 0.678 0.072 0.072
8 Zr 0.678 0.072 0.678
9 Zr 0.678 0.678 0.072
10 Zr 0.928 0.322 0.322
11 Zr 0.928 0.322 0.928
12 Zr 0.928 0.928 0.322
13 Al 0.000 0.500 0.500
14 Al 0.500 0.000 0.500
15 Al 0.500 0.500 0.000
16 Al 0.500 0.500 0.500
17 Au 0.288 0.288 0.288
18 Au 0.288 0.288 0.637
19 Au 0.288 0.637 0.288
20 Au 0.363 0.712 0.712
21 Au 0.637 0.288 0.288
22 Au 0.712 0.363 0.712
23 Au 0.712 0.712 0.363
24 Au 0.712 0.712 0.712

Properties
Calculated volume in Å³ per atom: 19.87
Space-group type: No. 227
Calculated density in g/cm³: 9.7
DFT total energy in eV per cell: -155.06